A plane-wave DFT calculation with PBE-GGA was carried out for a relaxed structure of BaFeAs3.

Cell: 4.832 4.832 4.832 Å, 90.00 90.00 90.00°
Element x y z (fractional)
1 Ba 0.000 0.000 0.000
2 Fe 0.500 0.500 0.500
3 As 0.000 0.500 0.500
4 As 0.500 0.000 0.500
5 As 0.500 0.500 0.000

Values from the calculation:
Total magnetic moment ... 0.00 μB/f.u.
Relative energy among the computed polymorphs ... 0 meV/atom